Record 1
The following is a DFT calculation (PBE) of an optimized crystal structure of CaTbGaSn.

POSCAR file:
```
CaTbGaSn
1.0
-0.3831 -2.5827 4.5825
3.6811 -3.5252 1.3560
3.3610 1.0723 3.9204
Ca Tb Sn Ga
1 1 1 1
Cartesian
3.3295 -2.5178 4.9294
0.0000 0.0000 0.0000
4.9942 -3.7767 7.3942
1.6647 -1.2589 2.4647
```

## Properties
- symmetry = F-43m (216)
- total magnetization (μB/f.u.) = 0.0
- formation enthalpy at 0 K (eV/atom) = -0.5213
- density of states at the Fermi level (states/eV/f.u.) = 1.8

=====

Record 2
The following is a DFT calculation (PBE) of an optimized crystal structure of NiMoW2Br.

POSCAR file:
```
NiMoW2Br
1.0
4.8061 0.0000 0.0000
0.0000 4.5862 0.0000
0.0000 0.0000 4.8061
Ni Mo Br W
1 1 1 2
Cartesian
0.0000 2.2931 0.0000
0.0000 0.0000 0.0000
2.4031 2.2931 2.4031
0.0000 0.0000 2.4031
2.4031 0.0000 0.0000
```

## Properties
- symmetry = P4/mmm (123)
- total magnetization (μB/f.u.) = 0.0
- energy relative to the elements, uncorrected (kJ/mol of atoms) = 199.9
- density of states at the Fermi level (states/eV/f.u.) = 6.9

=====

Record 3
The following is a DFT calculation (PBE) of an optimized crystal structure of Pm5TmIn8.

POSCAR file:
```
Pm5TmIn8
1.0
-4.3875 1.4904 6.6207
2.5389 -7.6697 0.1860
6.4199 4.9009 -0.2664
Pm Tm In
5 1 8
Cartesian
-2.6559 -0.7485 6.5987
-0.0638 -4.1651 5.9299
2.3191 -0.6763 4.9349
1.0162 3.1957 3.1771
-1.2644 -0.3774 2.5041
4.9875 0.2134 1.5484
1.5567 -5.2916 0.9640
0.5029 4.1858 6.2059
-0.3900 1.1415 5.2619
3.9364 1.9751 3.9020
0.7653 -2.8432 3.0462
5.2365 -1.7905 3.9867
1.8464 0.3396 1.9238
4.8307 -2.8302 0.8705
```

## Properties
- symmetry = I-4 (82)
- total magnetization (μB/f.u.) = 0.0
- formation enthalpy at 0 K (eV/atom) = -0.3665
- density of states at the Fermi level (states/eV/f.u.) = 12.3

=====

Record 4
The following is a DFT calculation (PBE) of an optimized crystal structure of Sm2HoIn3Te6.

POSCAR file:
```
Sm2HoIn3Te6
1.0
7.7133 -0.0014 0.0002
-3.8560 6.6803 0.0002
-1.2862 -2.2270 8.1111
Sm Ho In Te
2 1 3 6
Cartesian
0.0035 4.4513 0.0002
3.8538 2.2276 0.0002
0.0000 0.0000 0.0000
-2.5511 4.4418 4.0557
5.1222 0.0101 4.0557
1.2856 2.2259 4.0557
3.8348 2.2639 6.3152
2.5942 4.4918 1.8113
-1.2636 2.1880 1.7962
0.0445 4.4530 6.3152
-0.0230 -0.0399 6.3001
2.5267 -0.0011 1.7962
```

## Properties
- symmetry = C2/m (12)
- total magnetization (μB/f.u.) = 0.0
- energy relative to the elements, uncorrected (kJ/mol of atoms) = -94.4
- density of states at the Fermi level (states/eV/f.u.) = 1.3

=====

Record 5
The following is a DFT calculation (PBE) of an optimized crystal structure of Sm2Zn12GaNi3.

POSCAR file:
```
Sm2Zn12GaNi3
1.0
-2.5243 5.0392 -5.2981
1.2412 -2.3015 -7.2800
-6.4226 -2.3122 -3.6387
Sm Zn Ga Ni
2 12 1 3
Cartesian
-4.6142 0.2548 -9.7107
-3.0914 0.1707 -6.5060
-5.8991 -1.1303 -7.0214
-3.5553 1.4868 -12.2617
-5.4415 -2.0703 -11.4587
-3.7706 2.8835 -7.9275
-7.2635 1.4816 -10.4998
-1.7146 -1.1245 -9.0096
-1.8066 1.5559 -9.1953
-4.1504 -1.0612 -3.9550
-2.2642 2.4959 -4.7580
-3.9350 -2.4580 -8.2892
-0.4421 -1.0560 -5.7169
-5.9910 1.5500 -7.2071
0.0000 0.0000 0.0000
-1.2622 2.5196 -2.6490
0.6206 -1.1507 -3.6400
-3.2113 -1.1561 -1.8193
```

## Properties
- symmetry = R-3m (166)
- total magnetization (μB/f.u.) = 0.0
- formation enthalpy at 0 K (eV/atom) = 0.2030
- density of states at the Fermi level (states/eV/f.u.) = 9.3

=====

Record 6
The following is a DFT calculation (PBE) of an optimized crystal structure of Rb3NaTl.

POSCAR file:
```
Rb3NaTl
1.0
-5.2653 -4.6523 -2.1868
6.4382 -8.5252 2.6353
-6.7142 1.4753 13.0275
Rb Na Tl
12 4 4
Cartesian
-6.9953 -3.9109 2.5841
1.4539 -7.7914 10.8919
3.1068 -10.0348 3.6703
-8.6481 -1.6674 9.8057
-3.2472 -4.1427 5.0146
-2.2942 -7.5595 8.4614
-1.2449 -10.3363 0.9891
-4.2965 -1.3659 12.4868
-6.8920 -6.6433 6.4910
1.3507 -5.0589 6.9850
-4.4157 -6.4500 12.4981
-1.1257 -5.2522 0.9779
0.6378 -2.5294 3.7096
-6.1792 -9.1728 9.7663
-0.2472 -7.6353 4.3220
-5.2942 -4.0669 9.1540
-6.5085 -2.5581 6.4559
0.9671 -9.1442 7.0201
-0.7253 -6.9356 14.2252
-4.8161 -4.7666 -0.7493
```

## Properties
- symmetry = P2_1/c (14)
- total magnetization (μB/f.u.) = 0.0
- formation enthalpy at 0 K (eV/atom) = -0.0078
- density of states at the Fermi level (states/eV/f.u.) = 3.0

=====

Record 7
The following is a DFT calculation (PBE) of an optimized crystal structure of Na2Ca2Hg.

POSCAR file:
```
Na2Ca2Hg
1.0
-7.3473 2.7344 0.3849
-1.3293 -4.4614 6.3195
1.6778 4.0554 3.2160
Na Ca Hg
4 4 2
Cartesian
-3.8200 -2.8588 5.5979
-7.1914 -0.4774 4.3538
-4.8567 1.1317 1.1066
-1.4852 -1.2496 2.3506
-1.3960 -0.5155 5.9811
-5.2532 0.2357 7.0460
-5.6028 2.8440 3.9393
-1.7457 2.0927 2.8744
0.0000 0.0000 0.0000
-4.3383 -0.8635 3.3522
```

## Properties
- symmetry = P4/mbm (127)
- total magnetization (μB/f.u.) = 0.0
- formation enthalpy at 0 K (eV/atom) = -0.0194
- density of states at the Fermi level (states/eV/f.u.) = 3.2

=====

Record 8
The following is a DFT calculation (PBE) of an optimized crystal structure of Cu3WN.

POSCAR file:
```
Cu3WN
1.0
3.9123 0.0000 0.0000
0.0000 3.9123 0.0000
0.0000 0.0000 3.9123
Cu W N
3 1 1
Cartesian
0.0000 1.9562 0.0000
0.0000 0.0000 1.9562
1.9562 0.0000 0.0000
1.9562 1.9562 1.9562
0.0000 0.0000 0.0000
```

## Properties
- symmetry = Pm-3m (221)
- total magnetization (μB/f.u.) = 0.0
- energy relative to the elements, uncorrected (kJ/mol of atoms) = 90.9
- density of states at the Fermi level (states/eV/f.u.) = 3.4

=====

Record 9
The following is a DFT calculation (PBE) of an optimized crystal structure of Sm3GeI3.

POSCAR file:
```
Sm3GeI3
1.0
-0.3422 -6.0194 4.6718
5.1497 -2.0440 -5.2419
4.2013 7.2196 5.2224
Sm Ge I
6 2 6
Cartesian
4.7151 -5.5268 0.3958
5.5598 -0.3429 5.5992
7.5654 1.1089 1.9789
3.4490 -0.5009 -0.9470
1.4435 -1.9527 2.6734
4.2937 4.6830 4.2564
7.9100 -0.7580 4.0780
1.0988 -0.0858 0.5743
4.4744 -2.2074 1.5935
6.3201 0.8924 -0.9514
2.6888 -1.7361 5.6036
3.3215 -3.3674 -1.9417
1.4860 -4.6960 1.3716
4.5345 1.3636 3.0588
```

## Properties
- symmetry = C2/m (12)
- total magnetization (μB/f.u.) = 0.0
- energy relative to the elements, uncorrected (kJ/mol of atoms) = -68.3
- density of states at the Fermi level (states/eV/f.u.) = 3.3

=====

Record 10
The following is a DFT calculation (PBE) of an optimized crystal structure of K3Ca2SnCl9.

POSCAR file:
```
K3Ca2SnCl9
1.0
7.7301 0.0000 0.0000
-3.8650 6.6945 0.0000
0.0000 0.0000 9.4945
K Ca Sn Cl
3 2 1 9
Cartesian
0.0000 4.4630 6.3459
0.0000 0.0000 0.0000
3.8651 2.2315 3.1487
0.0000 4.4630 1.5260
3.8651 2.2315 7.9685
0.0000 0.0000 4.7473
5.7628 1.1358 6.3837
3.8650 4.4228 6.3837
1.9673 1.1358 6.3837
1.8978 5.5586 3.1109
0.0000 2.2716 3.1109
-1.8978 5.5586 3.1109
3.8650 0.0000 0.0000
-1.9325 3.3472 0.0000
1.9325 3.3472 0.0000
```

## Properties
- symmetry = P-3m1 (164)
- total magnetization (μB/f.u.) = 0.0
- energy relative to the elements, uncorrected (kJ/mol of atoms) = -184.0
- density of states at the Fermi level (states/eV/f.u.) = 0.0

=====

Record 11
The following is a DFT calculation (PBE) of an optimized crystal structure of Ca7Tl2Sn2.

POSCAR file:
```
Ca7Tl2Sn2
1.0
-5.1972 -0.7387 -4.8718
0.2159 -8.0030 0.9837
-2.9356 0.7185 6.4929
Ca Tl Sn
7 2 2
Cartesian
-6.6042 -2.6285 -1.3456
-5.3801 -5.4048 4.7611
-1.3127 -5.3947 3.9504
-2.5368 -2.6184 -2.1564
0.0000 0.0000 0.0000
-3.9059 -5.9772 1.5413
-4.0110 -2.0460 1.0634
-6.5415 -4.0180 1.8172
-1.3754 -4.0052 0.7875
-4.3264 -8.3196 -0.5971
-3.5905 0.2963 3.2019
```

## Properties
- symmetry = Cmmm (65)
- total magnetization (μB/f.u.) = 0.0
- formation enthalpy at 0 K (eV/atom) = -0.3215
- density of states at the Fermi level (states/eV/f.u.) = 6.3

=====

Record 12
The following is a DFT calculation (PBE) of an optimized crystal structure of AlTc2Te.

POSCAR file:
```
AlTc2Te
1.0
6.0880 0.4639 -0.0638
3.6409 4.9012 0.0638
-4.5501 -3.2527 2.4494
Te Tc Al
1 2 1
Cartesian
5.2061 2.8710 0.0000
9.2193 5.0841 0.0000
3.0167 -0.1548 1.1928
2.3300 2.3599 1.2566
```

## Properties
- symmetry = Imm2 (44)
- total magnetization (μB/f.u.) = 0.0
- energy relative to the elements, uncorrected (kJ/mol of atoms) = 12.3
- density of states at the Fermi level (states/eV/f.u.) = 3.5